The following is a PBE-GGA calculation of a geometry-optimized Ba2Zn3CuPt4 structure, from Alexandria.

Computed properties:
Density of states at the Fermi level   4.4 states/eV per cell
Total magnetization   0.00 μB per cell
Total DFT energy (no corrections)   -41.43 eV/cell
Density   10.41 g/cm3

Lattice parameters (Å, degrees): 4.4120 4.4120 10.7727 90.00 90.00 90.00
Fractional coordinates of all 10 atoms:
Ba 0.0000 0.5000 0.2484
Ba 0.5000 0.0000 0.7516
Zn 0.0000 0.0000 0.0000
Zn 0.0000 0.5000 0.6278
Zn 0.5000 0.0000 0.3722
Cu 0.5000 0.5000 0.0000
Pt 0.0000 0.0000 0.5000
Pt 0.0000 0.5000 0.8692
Pt 0.5000 0.0000 0.1308
Pt 0.5000 0.5000 0.5000

***

The following is a PBE-GGA calculation of a geometry-optimized TlPOs4 structure, from Alexandria.

Computed properties:
Density of states at the Fermi level   9.4 states/eV per cell
Total magnetization   0.00 μB per cell
Total DFT energy (no corrections)   -45.68 eV/cell
Density   16.19 g/cm3

Lattice parameters (Å, degrees): 5.2482 5.2482 5.2482 60.00 60.00 60.00
Fractional coordinates of all 6 atoms:
Tl 0.0000 0.0000 0.0000
P 0.7500 0.7500 0.7500
Os 0.3756 0.3756 0.3756
Os 0.3756 0.3756 0.8731
Os 0.3756 0.8731 0.3756
Os 0.8731 0.3756 0.3756

***

The following is a PBE-GGA calculation of a geometry-optimized Rb2AsP structure, from Alexandria.

Computed properties:
Density of states at the Fermi level   5.2 states/eV per cell
Total magnetization   0.00 μB per cell
Total DFT energy (no corrections)   -24.89 eV/cell
Offset from the most stable computed form   0.1865 eV per atom
Density   2.30 g/cm3

Lattice parameters (Å, degrees): 9.4458 9.4458 9.4458 93.68 93.68 150.63
Fractional coordinates of all 8 atoms:
Rb 0.3750 0.1580 0.2830
Rb 0.8420 0.1250 0.2170
Rb 0.8750 0.0920 0.7170
Rb 0.9080 0.6250 0.7830
As 0.2500 0.7500 0.5000
As 0.5000 0.5000 0.0000
P 0.0000 0.0000 0.0000
P 0.7500 0.2500 0.5000

***

The following is a PBE-GGA calculation of a geometry-optimized Cs2In3Sn2 structure, from Alexandria.

Computed properties:
Density of states at the Fermi level   2.5 states/eV per cell
Total magnetization   0.00 μB per cell
Total DFT energy (no corrections)   -18.65 eV/cell
Offset from the most stable computed form   0.0115 eV per atom
Density   4.85 g/cm3

Lattice parameters (Å, degrees): 8.0406 8.0406 8.3030 99.80 99.80 33.33
Fractional coordinates of all 7 atoms:
Cs 0.1733 0.1733 0.2396
Cs 0.8267 0.8267 0.7604
In 0.4425 0.4425 0.1237
In 0.5000 0.5000 0.5000
In 0.5575 0.5575 0.8763
Sn 0.1076 0.1076 0.6871
Sn 0.8924 0.8924 0.3129

***

The following is a PBE-GGA calculation of a geometry-optimized AlTc2Te structure, from Alexandria.

Computed properties:
Density of states at the Fermi level   10.7 states/eV per cell
Total magnetization   0.00 μB per cell
Total DFT energy (no corrections)   -51.50 eV/cell
Offset from the most stable computed form   0.4541 eV per atom
Density   7.76 g/cm3

Lattice parameters (Å, degrees): 9.2968 9.2968 9.2968 154.38 154.38 36.55
Fractional coordinates of all 8 atoms:
Al 0.0000 0.0000 0.0000
Al 0.7500 0.2500 0.5000
Tc 0.0600 0.6250 0.9350
Tc 0.3750 0.3100 0.4350
Tc 0.6900 0.1250 0.0650
Tc 0.8750 0.9400 0.5650
Te 0.2500 0.7500 0.5000
Te 0.5000 0.5000 0.0000

***

The following is a PBE-GGA calculation of a geometry-optimized LiCd2PbF8 structure, from Alexandria.

Computed properties:
Density of states at the Fermi level   2.0 states/eV per cell
Total magnetization   0.00 μB per cell
Total DFT energy (no corrections)   -49.17 eV/cell
Density   5.87 g/cm3

Lattice parameters (Å, degrees): 3.8945 5.4282 7.9205 87.19 89.82 89.04
Fractional coordinates of all 12 atoms:
Li 0.0000 0.0000 0.0000
Cd 0.4953 0.4522 0.7819
Cd 0.5047 0.5478 0.2181
Pb 0.0000 0.0000 0.5000
F 0.0100 0.1726 0.7736
F 0.0105 0.3359 0.3034
F 0.4595 0.7554 0.9660
F 0.4983 0.7664 0.4650
F 0.5017 0.2336 0.5350
F 0.5405 0.2446 0.0340
F 0.9895 0.6641 0.6966
F 0.9900 0.8274 0.2264

***

The following is a PBE-GGA calculation of a geometry-optimized YCoPtN2 structure, from Alexandria.

Computed properties:
Density of states at the Fermi level   6.9 states/eV per cell
Total magnetization   5.00 μB per cell
Total DFT energy (no corrections)   -27.51 eV/cell
Density   6.34 g/cm3

Lattice parameters (Å, degrees): 4.2837 4.2837 5.2918 90.00 90.00 90.00
Fractional coordinates of all 5 atoms:
Y 0.0000 0.0000 0.0000
Co 0.0000 0.0000 0.5000
Pt 0.5000 0.5000 0.5000
N 0.0000 0.5000 0.0000
N 0.5000 0.0000 0.0000

***

The following is a PBE-GGA calculation of a geometry-optimized La5Sm2DyHo structure, from Alexandria.

Computed properties:
Density of states at the Fermi level   34.9 states/eV per cell
Total magnetization   0.00 μB per cell
Total DFT energy (no corrections)   -81.49 eV/cell
Density   6.85 g/cm3

Lattice parameters (Å, degrees): 10.4086 10.4086 10.4086 130.28 130.28 72.96
Fractional coordinates of all 18 atoms:
La 0.0000 0.0000 0.0000
La 0.0698 0.5698 0.9258
La 0.1440 0.0698 0.5000
La 0.3560 0.8560 0.9258
La 0.4302 0.3560 0.5000
La 0.5000 0.5000 0.0000
La 0.5698 0.6440 0.5000
La 0.6440 0.1440 0.0742
La 0.8560 0.9302 0.5000
La 0.9302 0.4302 0.0742
Sm 0.1209 0.3791 0.5000
Sm 0.3791 0.8791 0.2581
Sm 0.6209 0.1209 0.7419
Sm 0.8791 0.6209 0.5000
Dy 0.2500 0.7500 0.5000
Dy 0.7500 0.2500 0.5000
Ho 0.2500 0.2500 0.0000
Ho 0.7500 0.7500 0.0000

***

The following is a PBE-GGA calculation of a geometry-optimized Y6GaTe5 structure, from Alexandria.

Computed properties:
Density of states at the Fermi level   6.3 states/eV per cell
Total magnetization   0.00 μB per cell
Total DFT energy (no corrections)   -72.73 eV/cell
Density   5.89 g/cm3

Lattice parameters (Å, degrees): 7.5322 7.5322 7.5346 99.57 99.57 119.80
Fractional coordinates of all 12 atoms:
Y 0.0761 0.3859 0.7321
Y 0.2266 0.2266 0.2602
Y 0.3859 0.0761 0.7321
Y 0.6141 0.9239 0.2679
Y 0.7734 0.7734 0.7398
Y 0.9239 0.6141 0.2679
Ga 0.0000 0.0000 0.5000
Te 0.1758 0.8242 0.0000
Te 0.3357 0.6643 0.5000
Te 0.5000 0.5000 0.0000
Te 0.6643 0.3357 0.5000
Te 0.8242 0.1758 0.0000

***

The following is a PBE-GGA calculation of a geometry-optimized Hf12Rh5C2 structure, from Alexandria.

Computed properties:
Density of states at the Fermi level   16.6 states/eV per cell
Total magnetization   0.00 μB per cell
Total DFT energy (no corrections)   -183.31 eV/cell
Density   11.77 g/cm3

Lattice parameters (Å, degrees): 8.0753 8.0753 7.9893 104.80 104.80 49.15
Fractional coordinates of all 19 atoms:
Hf 0.0050 0.0050 0.3025
Hf 0.0790 0.5986 0.3988
Hf 0.1056 0.6222 0.9458
Hf 0.3778 0.8944 0.0542
Hf 0.4014 0.9210 0.6012
Hf 0.4888 0.4888 0.6740
Hf 0.5112 0.5112 0.3260
Hf 0.5986 0.0790 0.3988
Hf 0.6222 0.1056 0.9458
Hf 0.8944 0.3778 0.0542
Hf 0.9210 0.4014 0.6012
Hf 0.9950 0.9950 0.6975
Rh 0.1936 0.1936 0.3372
Rh 0.2171 0.2171 0.8774
Rh 0.5000 0.5000 0.0000
Rh 0.7829 0.7829 0.1226
Rh 0.8064 0.8064 0.6628
C 0.2392 0.7608 0.5000
C 0.7608 0.2392 0.5000

***

The following is a PBE-GGA calculation of a geometry-optimized Y2ScTc structure, from Alexandria.

Computed properties:
Density of states at the Fermi level   5.4 states/eV per cell
Total magnetization   0.00 μB per cell
Total DFT energy (no corrections)   -29.71 eV/cell
Offset from the most stable computed form   0.0844 eV per atom
Density   5.36 g/cm3

Lattice parameters (Å, degrees): 3.4098 3.4099 8.5434 90.00 90.22 90.00
Fractional coordinates of all 4 atoms:
Y 0.0000 0.0000 0.0000
Y 0.4978 0.5000 0.6627
Sc 0.5021 0.5000 0.2951
Tc 0.0003 0.0000 0.4577

***

The following is a PBE-GGA calculation of a geometry-optimized Ce5ZrP6 structure, from Alexandria.

Computed properties:
Density of states at the Fermi level   17.9 states/eV per cell
Total magnetization   1.75 μB per cell
Total DFT energy (no corrections)   -88.39 eV/cell
Density   5.89 g/cm3

Lattice parameters (Å, degrees): 6.9643 6.9643 6.9663 99.61 99.61 119.99
Fractional coordinates of all 12 atoms:
Ce 0.0000 0.0000 0.0000
Ce 0.1660 0.8340 0.5000
Ce 0.3307 0.6693 0.0000
Ce 0.6693 0.3307 0.0000
Ce 0.8340 0.1660 0.5000
Zr 0.5000 0.5000 0.5000
P 0.0977 0.4199 0.2588
P 0.2599 0.2599 0.7447
P 0.4199 0.0977 0.2588
P 0.5801 0.9023 0.7412
P 0.7401 0.7401 0.2553
P 0.9023 0.5801 0.7412

***

The following is a PBE-GGA calculation of a geometry-optimized V2IrW structure, from Alexandria.

Computed properties:
Density of states at the Fermi level   3.7 states/eV per cell
Total magnetization   0.00 μB per cell
Total DFT energy (no corrections)   -41.14 eV/cell
Density   13.88 g/cm3

Lattice parameters (Å, degrees): 4.2791 4.2791 3.1238 90.00 90.00 90.00
Fractional coordinates of all 4 atoms:
V 0.0000 0.5000 0.0000
V 0.5000 0.0000 0.0000
Ir 0.0000 0.0000 0.5000
W 0.5000 0.5000 0.5000

***

The following is a PBE-GGA calculation of a geometry-optimized SbPb3O structure, from Alexandria.

Computed properties:
Density of states at the Fermi level   2.0 states/eV per cell
Total magnetization   0.00 μB per cell
Total DFT energy (no corrections)   -21.73 eV/cell
Offset from the most stable computed form   0.0000 eV per atom
Density   9.45 g/cm3

Lattice parameters (Å, degrees): 5.1105 5.1105 5.1105 90.00 90.00 90.00
Fractional coordinates of all 5 atoms:
Sb 0.0000 0.0000 0.0000
Pb 0.0000 0.5000 0.5000
Pb 0.5000 0.0000 0.5000
Pb 0.5000 0.5000 0.0000
O 0.5000 0.5000 0.5000

***

The following is a PBE-GGA calculation of a geometry-optimized PuCu2Pb structure, from Alexandria.

Computed properties:
Density of states at the Fermi level   11.2 states/eV per cell
Total magnetization   5.96 μB per cell
Total DFT energy (no corrections)   -25.51 eV/cell
Density   11.60 g/cm3

Lattice parameters (Å, degrees): 4.7721 4.7721 3.6344 90.00 90.00 90.00
Fractional coordinates of all 4 atoms:
Pu 0.0000 0.0000 0.0000
Cu 0.0000 0.5000 0.5000
Cu 0.5000 0.0000 0.5000
Pb 0.5000 0.5000 0.0000

***

The following is a PBE-GGA calculation of a geometry-optimized ZrPtS structure, from Alexandria.

Computed properties:
Density of states at the Fermi level   1.3 states/eV per cell
Total magnetization   0.00 μB per cell
Total DFT energy (no corrections)   -43.69 eV/cell
Offset from the most stable computed form   0.1710 eV per atom
Density   9.87 g/cm3

Lattice parameters (Å, degrees): 3.6194 4.8416 6.5180 90.99 91.02 110.27
Fractional coordinates of all 6 atoms:
Zr 0.0000 0.0000 0.0000
Zr 0.2663 0.5704 0.4199
Pt 0.3347 0.5807 0.8337
Pt 0.5764 0.1365 0.6695
S 0.6720 0.4167 0.1387
S 0.9714 0.9851 0.4091

***

The following is a PBE-GGA calculation of a geometry-optimized Mg4Si3 structure, from Alexandria.

Computed properties:
Density of states at the Fermi level   3.9 states/eV per cell
Total magnetization   0.00 μB per cell
Total DFT energy (no corrections)   -44.01 eV/cell
Offset from the most stable computed form   0.1242 eV per atom
Density   2.13 g/cm3

Lattice parameters (Å, degrees): 6.0749 7.0819 7.2751 69.43 75.75 79.44
Fractional coordinates of all 14 atoms:
Mg 0.0000 0.0000 0.0000
Mg 0.0018 0.7162 0.7784
Mg 0.1437 0.5423 0.2383
Mg 0.1748 0.0210 0.3425
Mg 0.3264 0.2303 0.6127
Mg 0.6339 0.6427 0.1812
Mg 0.6455 0.4635 0.7577
Mg 0.6669 0.9019 0.4553
Si 0.3375 0.6304 0.5063
Si 0.4034 0.8159 0.8563
Si 0.5279 0.2553 0.1667
Si 0.5723 0.0466 0.9432
Si 0.8555 0.1463 0.6244
Si 0.9170 0.3428 0.0810

***

The following is a PBE-GGA calculation of a geometry-optimized Sr2Li3InAg12 structure, from Alexandria.

Computed properties:
Density of states at the Fermi level   5.2 states/eV per cell
Total magnetization   0.00 μB per cell
Total DFT energy (no corrections)   -46.26 eV/cell
Density   6.59 g/cm3

Lattice parameters (Å, degrees): 11.0313 11.0313 11.0313 35.49 35.49 35.49
Fractional coordinates of all 18 atoms:
Sr 0.1410 0.1410 0.1410
Sr 0.8590 0.8590 0.8590
Li 0.0000 0.5000 0.5000
Li 0.5000 0.0000 0.5000
Li 0.5000 0.5000 0.0000
In 0.5000 0.5000 0.5000
Ag 0.0936 0.0936 0.6848
Ag 0.0936 0.6848 0.0936
Ag 0.1043 0.5974 0.5974
Ag 0.3152 0.9064 0.9064
Ag 0.4026 0.4026 0.8957
Ag 0.4026 0.8957 0.4026
Ag 0.5974 0.1043 0.5974
Ag 0.5974 0.5974 0.1043
Ag 0.6848 0.0936 0.0936
Ag 0.8957 0.4026 0.4026
Ag 0.9064 0.3152 0.9064
Ag 0.9064 0.9064 0.3152

***

The following is a PBE-GGA calculation of a geometry-optimized CsCdI2Br structure, from Alexandria.

Computed properties:
Density of states at the Fermi level   2.1 states/eV per cell
Total magnetization   0.00 μB per cell
Total DFT energy (no corrections)   -11.66 eV/cell
Offset from the most stable computed form   0.0352 eV per atom
Density   4.68 g/cm3

Lattice parameters (Å, degrees): 6.0301 6.0301 5.6482 90.00 90.00 90.00
Fractional coordinates of all 5 atoms:
Cs 0.0000 0.0000 0.0000
Cd 0.5000 0.5000 0.5000
I 0.0000 0.5000 0.5000
I 0.5000 0.0000 0.5000
Br 0.5000 0.5000 0.0000

***

The following is a PBE-GGA calculation of a geometry-optimized LiAgAs structure, from Alexandria.

Computed properties:
Density of states at the Fermi level   2.0 states/eV per cell
Total magnetization   0.00 μB per cell
Total DFT energy (no corrections)   -10.03 eV/cell
Offset from the most stable computed form   0.0766 eV per atom
Density   5.50 g/cm3

Lattice parameters (Å, degrees): 4.3264 4.3264 4.3264 60.00 60.00 60.00
Fractional coordinates of all 3 atoms:
Li 0.0000 0.0000 0.0000
Ag 0.2500 0.2500 0.2500
As 0.5000 0.5000 0.5000